(1)
A plane-wave DFT calculation with GGA-PBE was carried out for a geometry-optimized ReBi structure.

The structure in CIF format:
```
data_ReBi
_symmetry_space_group_name_H-M 'P 1'
_symmetry_Int_Tables_number 1
_cell_length_a 4.044
_cell_length_b 4.044
_cell_length_c 4.044
_cell_angle_alpha 60.00
_cell_angle_beta 60.00
_cell_angle_gamma 60.00
loop_
_symmetry_equiv_pos_as_xyz
'x,y,z'
loop_
_atom_site_label
_atom_site_fract_x
_atom_site_fract_y
_atom_site_fract_z
_atom_site_occupancy
Bi1 0.000 0.000 0.000 1
Re1 0.500 0.500 0.500 1
```

## Properties
E above lowest polymorph: 1108 meV/atom
Symmetry: No. 225

=====

(2)
A plane-wave DFT calculation with GGA-PBE was carried out for a geometry-optimized LiInNiAg structure.

The structure in CIF format:
```
data_LiInNiAg
_symmetry_space_group_name_H-M 'P 1'
_symmetry_Int_Tables_number 1
_cell_length_a 4.478
_cell_length_b 4.478
_cell_length_c 4.478
_cell_angle_alpha 60.00
_cell_angle_beta 60.00
_cell_angle_gamma 60.00
loop_
_symmetry_equiv_pos_as_xyz
'x,y,z'
loop_
_atom_site_label
_atom_site_fract_x
_atom_site_fract_y
_atom_site_fract_z
_atom_site_occupancy
Ag1 0.500 0.500 0.500 1
In1 0.250 0.250 0.250 1
Li1 0.750 0.750 0.750 1
Ni1 0.000 0.000 0.000 1
```

## Properties
E above lowest polymorph: 53 meV/atom
Symmetry: No. 216

=====

(3)
A plane-wave DFT calculation with GGA-PBE was carried out for a geometry-optimized FeSn2Mo structure.

The structure in CIF format:
```
data_FeSn2Mo
_symmetry_space_group_name_H-M 'P 1'
_symmetry_Int_Tables_number 1
_cell_length_a 4.708
_cell_length_b 4.708
_cell_length_c 4.708
_cell_angle_alpha 60.00
_cell_angle_beta 60.00
_cell_angle_gamma 60.00
loop_
_symmetry_equiv_pos_as_xyz
'x,y,z'
loop_
_atom_site_label
_atom_site_fract_x
_atom_site_fract_y
_atom_site_fract_z
_atom_site_occupancy
Fe1 0.500 0.500 0.500 1
Mo1 0.250 0.250 0.250 1
Sn1 0.000 0.000 0.000 1
Sn2 0.750 0.750 0.750 1
```

## Properties
Symmetry: No. 216

=====

Number 1: total DFT energy (no corrections) -6.539 eV/atom, density 14.0 g/cm3. Number 2: total DFT energy (no corrections) -3.381 eV/atom, density 7.5 g/cm3. Number 3: total DFT energy (no corrections) -6.142 eV/atom, density 8.8 g/cm3.